An optimized crystal structure of CsTl2Sb. Source: Alexandria, functional PBE.

a b c (Å): 6.016 6.016 5.871
angles (deg): 90.00 90.00 90.00
Space group P4/mmm (No. 123)
One atom of each set of equivalent atoms:
Cs (0.000, 0.000, 0.000) x1
Tl (0.000, 0.500, 0.500) x2
Sb (0.500, 0.500, 0.500) x1

Summary:
- Distance to the lowest polymorph of the same formula: 305 meV per atom
- Mass density: 5.184 g/cm3